Here is crystalline SrLi2Tl2Cd2 at its relaxed geometry from Alexandria via LeMat-Bulk. Energies are from PBE.

Structure (POSCAR):
```
SrLi2Tl2Cd2
1.0
2.395 1.383 8.887
-2.395 1.383 8.887
0.000 -2.765 8.887
Sr Li Tl Cd
1 2 2 2
Direct
0.000 0.000 0.000
0.444 0.444 0.444
0.556 0.556 0.556
0.256 0.256 0.256
0.744 0.744 0.744
0.139 0.139 0.139
0.861 0.861 0.861
```

Computed properties:
SG   R-3m
M_tot   0.0 μB per cell
DFT formation energy   -0.264 eV/atom



Here is crystalline Sr2Li2TlCd5 at its relaxed geometry from Alexandria via LeMat-Bulk. Energies are from PBE.

Structure (POSCAR):
```
Sr2Li2TlCd5
1.0
11.065 0.000 0.000
0.000 11.065 0.000
0.000 0.000 4.255
Sr Li Tl Cd
4 4 2 10
Direct
0.183 0.317 0.000
0.317 0.817 0.000
0.683 0.183 0.000
0.817 0.683 0.000
0.113 0.613 0.000
0.387 0.113 0.000
0.613 0.887 0.000
0.887 0.387 0.000
0.000 0.000 0.000
0.500 0.500 0.000
0.000 0.500 0.500
0.058 0.789 0.500
0.211 0.058 0.500
0.289 0.558 0.500
0.442 0.289 0.500
0.500 0.000 0.500
0.558 0.711 0.500
0.711 0.442 0.500
0.789 0.942 0.500
0.942 0.211 0.500
```

Computed properties:
SG   P4/mbm
M_tot   0.0 μB per cell
DFT formation energy   -0.207 eV/atom



Here is crystalline SrLi4Tl2Cd at its relaxed geometry from Alexandria via LeMat-Bulk. Energies are from PBE.

Structure (POSCAR):
```
SrLi4Tl2Cd
1.0
2.407 1.390 9.293
-2.407 1.390 9.293
0.000 -2.780 9.293
Sr Li Tl Cd
1 4 2 1
Direct
0.000 0.000 0.000
0.134 0.134 0.134
0.405 0.405 0.405
0.595 0.595 0.595
0.866 0.866 0.866
0.245 0.245 0.245
0.755 0.755 0.755
0.500 0.500 0.500
```

Computed properties:
SG   R-3m
M_tot   0.0 μB per cell
DFT formation energy   -0.222 eV/atom



Here is crystalline SrLiTmCd at its relaxed geometry from Alexandria via LeMat-Bulk. Energies are from PBE.

Structure (POSCAR):
```
SrLiTmCd
1.0
7.737 0.000 0.000
0.000 7.737 0.000
0.000 0.000 7.737
Sr Li Tm Cd
4 4 4 4
Direct
0.000 0.000 0.000
0.000 0.500 0.500
0.500 0.000 0.500
0.500 0.500 0.000
0.250 0.250 0.750
0.250 0.750 0.250
0.750 0.250 0.250
0.750 0.750 0.750
0.000 0.000 0.500
0.000 0.500 0.000
0.500 0.000 0.000
0.500 0.500 0.500
0.250 0.250 0.250
0.250 0.750 0.750
0.750 0.250 0.750
0.750 0.750 0.250
```

Computed properties:
SG   F-43m
M_tot   0.0 μB per cell
DFT formation energy   -0.049 eV/atom



Here is crystalline SrLiZnCd2 at its relaxed geometry from Alexandria via LeMat-Bulk. Energies are from PBE.

Structure (POSCAR):
```
SrLiZnCd2
1.0
5.032 0.000 0.000
0.000 5.032 0.000
0.000 0.000 4.907
Sr Li Zn Cd
1 1 1 2
Direct
0.000 0.000 0.000
0.500 0.500 0.500
0.500 0.500 0.000
0.000 0.500 0.500
0.500 0.000 0.500
```

Computed properties:
SG   P4/mmm
M_tot   0.0 μB per cell
DFT formation energy   -0.098 eV/atom



Here is crystalline Sr2Li12Zn3Cd at its relaxed geometry from Alexandria via LeMat-Bulk. Energies are from PBE.

Structure (POSCAR):
```
Sr2Li12Zn3Cd
1.0
5.000 2.887 4.634
-5.000 2.887 4.634
0.000 -5.774 4.634
Sr Li Zn Cd
2 12 3 1
Direct
0.249 0.249 0.249
0.751 0.751 0.751
0.080 0.080 0.651
0.080 0.652 0.080
0.224 0.689 0.689
0.311 0.311 0.776
0.311 0.776 0.311
0.349 0.920 0.920
0.651 0.080 0.080
0.689 0.224 0.689
0.689 0.689 0.224
0.776 0.311 0.311
0.920 0.349 0.920
0.920 0.920 0.349
0.000 0.500 0.500
0.500 0.000 0.500
0.500 0.500 0.000
0.500 0.500 0.500
```

Computed properties:
SG   R-3m
M_tot   0.0 μB per cell
DFT formation energy   0.008 eV/atom



Here is crystalline SrLiZnCd2 at its relaxed geometry from Alexandria via LeMat-Bulk. Energies are from PBE.

Structure (POSCAR):
```
SrLiZnCd2
1.0
5.123 0.000 0.000
0.000 5.123 0.000
0.000 0.000 5.060
Sr Li Zn Cd
1 1 1 2
Direct
0.000 0.000 0.000
0.500 0.500 0.000
0.500 0.500 0.500
0.000 0.500 0.500
0.500 0.000 0.500
```

Computed properties:
SG   P4/mmm
M_tot   0.0 μB per cell
DFT formation energy   -0.089 eV/atom



Here is crystalline SrLi2ZnCd at its relaxed geometry from Alexandria via LeMat-Bulk. Energies are from PBE.

Structure (POSCAR):
```
SrLi2ZnCd
1.0
5.148 0.000 0.000
0.000 5.148 0.000
0.000 0.000 5.046
Sr Li Zn Cd
1 2 1 1
Direct
0.000 0.000 0.000
0.000 0.500 0.500
0.500 0.000 0.500
0.500 0.500 0.000
0.500 0.500 0.500
```

Computed properties:
SG   P4/mmm
M_tot   0.0 μB per cell
DFT formation energy   -0.014 eV/atom



Here is crystalline SrLi2ZnCd at its relaxed geometry from Alexandria via LeMat-Bulk. Energies are from PBE.

Structure (POSCAR):
```
SrLi2ZnCd
1.0
5.069 0.000 0.000
0.000 5.069 0.000
0.000 0.000 5.059
Sr Li Zn Cd
1 2 1 1
Direct
0.000 0.000 0.000
0.000 0.500 0.500
0.500 0.000 0.500
0.500 0.500 0.500
0.500 0.500 0.000
```

Computed properties:
SG   P4/mmm
M_tot   0.0 μB per cell
DFT formation energy   -0.065 eV/atom



Here is crystalline Sr2LiZn3Cd12 at its relaxed geometry from Alexandria via LeMat-Bulk. Energies are from PBE.

Structure (POSCAR):
```
Sr2LiZn3Cd12
1.0
4.704 2.716 6.849
-4.704 2.716 6.849
0.000 -5.432 6.849
Sr Li Zn Cd
2 1 3 12
Direct
0.102 0.102 0.102
0.898 0.898 0.898
0.500 0.500 0.500
0.000 0.500 0.500
0.500 0.000 0.500
0.500 0.500 0.000
0.145 0.628 0.628
0.151 0.151 0.540
0.151 0.540 0.151
0.372 0.372 0.855
0.372 0.855 0.372
0.460 0.849 0.849
0.540 0.151 0.151
0.628 0.145 0.628
0.628 0.628 0.145
0.849 0.460 0.849
0.849 0.849 0.460
0.855 0.372 0.372
```

Computed properties:
SG   R-3m
M_tot   0.0 μB per cell
DFT formation energy   0.116 eV/atom



Here is crystalline SrLiZnCd3 at its relaxed geometry from Alexandria via LeMat-Bulk. Energies are from PBE.

Structure (POSCAR):
```
SrLiZnCd3
1.0
3.440 -6.614 0.000
3.440 6.614 0.000
0.000 0.000 6.340
Sr Li Zn Cd
2 2 2 6
Direct
0.212 0.788 0.750
0.788 0.212 0.250
0.439 0.561 0.750
0.561 0.439 0.250
0.144 0.856 0.250
0.856 0.144 0.750
0.212 0.212 0.000
0.212 0.212 0.500
0.354 0.646 0.250
0.646 0.354 0.750
0.788 0.788 0.000
0.788 0.788 0.500
```

Computed properties:
SG   Cmcm
M_tot   0.0 μB per cell
DFT formation energy   -0.154 eV/atom



Here is crystalline LiTaCd2 at its relaxed geometry from Alexandria via LeMat-Bulk. Energies are from PBE.

Structure (POSCAR):
```
LiTaCd2
1.0
2.886 0.000 0.000
0.000 5.106 0.000
0.000 0.000 9.993
Li Ta Cd
2 2 4
Direct
0.000 0.000 0.000
0.500 0.500 0.500
0.000 0.000 0.500
0.500 0.500 0.000
0.000 0.500 0.272
0.000 0.500 0.728
0.500 0.000 0.228
0.500 0.000 0.772
```

Computed properties:
SG   Immm
M_tot   0.0 μB per cell
DFT formation energy   0.420 eV/atom